Computed, not measured: a geometry-optimized Sm3HoEr2Te6 structure at the GGA-PBE level of DFT.

POSCAR file:
```
Sm3HoEr2Te6
1.0
9.606 -2.172 0.000
9.606 2.172 0.000
-2.238 0.000 8.569
Sm Ho Er Te
3 1 2 6
Cartesian
0.000 0.000 0.000
4.925 0.000 5.719
12.049 0.000 2.849
-1.119 0.000 4.284
6.037 0.000 1.439
10.936 0.000 7.130
1.851 0.000 5.049
3.082 0.000 0.657
8.985 0.000 2.185
7.989 0.000 6.384
13.892 0.000 7.912
15.123 0.000 3.520
```

Computed properties:
ΔE_f (raw) in kJ/mol of formula units: -1513
Calculated total energy in eV per atom: -5.199
SG: C2/m, No. 12
N(E_F) in states/eV/cell: 6.0